i.
Material: Ac12La7Pm
Method: DFT, GGA-PBE
State: optimized geometry

abc: 21.0027 21.0027 6.7319
angles: 90.00 90.00 120.00
Space group R-3 (No. 148, hexagonal axes)
Symmetry-distinct sites (fractional):
Ac1 0.9996 0.4121 0.4990
Ac2 0.1011 0.5500 0.9792
La1 0.0000 0.0000 0.5000
La2 0.0810 0.1633 0.8007
Pm1 0.0000 0.0000 0.0000

For the volume, the calculation gives 42.861 A^3/atom. The value obtained for the density of states at the Fermi level is 1.380 states/eV per atom.


ii.
Material: Ac12La7Pm
Method: DFT, GGA-PBE
State: optimized geometry

abc: 12.224 12.224 12.224
angles: 90.00 90.00 90.00
Space group Im-3 (No. 204)
Symmetry-distinct sites (fractional):
Ac1 0.000 0.206 0.286
La1 0.000 0.000 0.500
La2 0.250 0.250 0.250
Pm1 0.000 0.000 0.000

For the volume, the calculation gives 45.666 A^3/atom. The value obtained for the density of states at the Fermi level is 1.731 states/eV per atom.


Relative energies with respect to the most stable structure, expressed in kJ/mol of atoms: i 0.0; ii 39.6.


i.
Material: AcLa7Pm2
Method: DFT, GGA-PBE
State: optimized geometry

abc: 9.128 16.245 5.791
angles: 90.00 90.00 90.00
Space group Cmmm (No. 65)
Symmetry-distinct sites (fractional):
Ac1 0.000 0.000 0.000
La1 0.000 0.246 0.000
La2 0.000 0.500 0.500
La3 0.186 0.118 0.500
Pm1 0.000 0.301 0.500

For the volume, the calculation gives 42.933 A^3/atom. The value obtained for the density of states at the Fermi level is 1.742 states/eV per atom.


ii.
Material: AcLa7Pm2
Method: DFT, GGA-PBE
State: optimized geometry

abc: 5.770 7.868 16.836
angles: 90.00 90.00 90.00
Space group Immm (No. 71)
Symmetry-distinct sites (fractional):
Ac1 0.000 0.000 0.000
La1 0.000 0.000 0.500
La2 0.000 0.299 0.370
La3 0.000 0.500 0.152
Pm1 0.000 0.000 0.214

For the volume, the calculation gives 38.217 A^3/atom. The value obtained for the density of states at the Fermi level is 1.663 states/eV per atom.


Relative energies with respect to the most stable structure, expressed in kJ/mol of atoms: i 35.7; ii 0.0.


i.
Material: AcLaPm
Method: DFT, GGA-PBE
State: optimized geometry

abc: 6.2276 6.2276 10.5528
angles: 90.00 90.00 120.00
Space group R3m (No. 160, hexagonal axes)
Symmetry-distinct sites (fractional):
Ac1 0.0000 0.0000 0.0000
La1 0.0000 0.0000 0.3393
Pm1 0.0000 0.0000 0.6645

For the volume, the calculation gives 39.382 A^3/atom. The value obtained for the density of states at the Fermi level is 2.524 states/eV per atom.


ii.
Material: AcLaPm
Method: DFT, GGA-PBE
State: optimized geometry

abc: 6.592 6.646 7.224
angles: 90.52 116.87 119.68
Space group P-1 (No. 2)
Symmetry-distinct sites (fractional):
Ac1 0.153 0.408 0.254
La1 0.173 0.244 0.763
Pm1 0.495 0.924 0.744

For the volume, the calculation gives 38.986 A^3/atom. The value obtained for the density of states at the Fermi level is 1.725 states/eV per atom.


Relative energies with respect to the most stable structure, expressed in kJ/mol of atoms: i 31.0; ii 0.0.


i.
Material: Ac2La2Pm5
Method: DFT, GGA-PBE
State: optimized geometry

abc: 15.484 12.527 6.974
angles: 90.00 90.00 90.00
Space group Ima2 (No. 46)
Symmetry-distinct sites (fractional):
Ac1 0.000 0.000 0.000
Ac2 0.250 0.003 0.058
La1 0.126 0.005 0.532
Pm1 0.055 0.748 0.174
Pm2 0.142 0.235 0.857
Pm3 0.250 0.731 0.887

For the volume, the calculation gives 37.578 A^3/atom. The value obtained for the density of states at the Fermi level is 1.633 states/eV per atom.


ii.
Material: Ac2La2Pm5
Method: DFT, GGA-PBE
State: optimized geometry

abc: 22.744 3.675 8.451
angles: 90.00 96.80 90.00
Space group C2/m (No. 12)
Symmetry-distinct sites (fractional):
Ac1 0.051 0.000 0.346
La1 0.190 0.500 0.149
Pm1 0.000 0.500 0.000
Pm2 0.102 0.500 0.751
Pm3 0.191 0.000 0.531

For the volume, the calculation gives 38.966 A^3/atom. The value obtained for the density of states at the Fermi level is 1.413 states/eV per atom.


Relative energies with respect to the most stable structure, expressed in kJ/mol of atoms: i 0.0; ii 7.8.


i.
Material: Ac2La7Pm2
Method: DFT, GGA-PBE
State: optimized geometry

abc: 8.895 11.374 8.647
angles: 90.00 104.66 90.00
Space group C2/m (No. 12)
Symmetry-distinct sites (fractional):
Ac1 0.083 0.000 0.322
La1 0.000 0.500 0.500
La2 0.193 0.500 0.981
La3 0.204 0.211 0.673
Pm1 0.000 0.213 0.000

For the volume, the calculation gives 38.469 A^3/atom. The value obtained for the density of states at the Fermi level is 1.812 states/eV per atom.


ii.
Material: Ac2La7Pm2
Method: DFT, GGA-PBE
State: optimized geometry

abc: 13.020 7.307 9.751
angles: 90.00 115.11 90.00
Space group C2/m (No. 12)
Symmetry-distinct sites (fractional):
Ac1 0.229 0.000 0.457
La1 0.000 0.000 0.000
La2 0.005 0.500 0.831
La3 0.239 0.225 0.831
Pm1 0.000 0.249 0.500

For the volume, the calculation gives 38.177 A^3/atom. The value obtained for the density of states at the Fermi level is 1.657 states/eV per atom.


Relative energies with respect to the most stable structure, expressed in kJ/mol of atoms: i 0.0; ii 1.5.


i.
Material: Ac3La2Pm2
Method: DFT, GGA-PBE
State: optimized geometry

abc: 5.741 25.469 3.787
angles: 90.00 90.00 90.00
Space group Cmmm (No. 65)
Symmetry-distinct sites (fractional):
Ac1 0.000 0.000 0.000
Ac2 0.000 0.152 0.000
La1 0.000 0.427 0.500
Pm1 0.000 0.285 0.500

For the volume, the calculation gives 39.557 A^3/atom. The value obtained for the density of states at the Fermi level is 1.669 states/eV per atom.


ii.
Material: Ac3La2Pm2
Method: DFT, GGA-PBE
State: optimized geometry

abc: 18.695 3.737 9.027
angles: 90.00 117.61 90.00
Space group C2/m (No. 12)
Symmetry-distinct sites (fractional):
Ac1 0.000 0.000 0.000
Ac2 0.217 0.000 0.294
La1 0.062 0.500 0.411
Pm1 0.146 0.000 0.830

For the volume, the calculation gives 39.916 A^3/atom. The value obtained for the density of states at the Fermi level is 1.629 states/eV per atom.


Relative energies with respect to the most stable structure, expressed in kJ/mol of atoms: i 0.0; ii 9.1.